1.
A relaxed structure of ScBiOs3. Source: the Alexandria database, functional GGA-PBE.

a b c (Å): 4.7348 4.7348 4.7348
angles (deg): 90.00 90.00 90.00
Closest atoms and distances in Å follow each position.
Space group Pm-3m (No. 221)
Inequivalent atoms, fractional coordinates:
Sc: 0.0000 0.0000 0.0000 x1  6 Os 2.37
Bi: 0.5000 0.5000 0.5000 x1  12 Os 3.35
Os: 0.0000 0.0000 0.5000 x3  2 Sc 2.37

Properties
M_tot	0.0	Bohr magnetons per cell
energy of formation from the pure elements	2.0226	eV/atom
uncorrected energy	-6.76	eV/atom
distance to the lowest polymorph of the same formula	0.00	kJ/mol of atoms

***

2.
A relaxed structure of ScBiOs3. Source: the Alexandria database, functional GGA-PBE.

a b c (Å): 4.9148 4.9148 4.9148
angles (deg): 90.00 90.00 90.00
Closest atoms and distances in Å follow each position.
Space group Pm-3m (No. 221)
Inequivalent atoms, fractional coordinates:
Sc: 0.0000 0.0000 0.0000 x1  12 Os 3.48
Bi: 0.5000 0.5000 0.5000 x1  6 Os 2.46
Os: 0.0000 0.5000 0.5000 x3  2 Bi 2.46

Properties
M_tot	0.0	Bohr magnetons per cell
energy of formation from the pure elements	2.2893	eV/atom
uncorrected energy	-6.49	eV/atom
distance to the lowest polymorph of the same formula	25.73	kJ/mol of atoms

***

3.
A relaxed structure of ScBiOs. Source: the Alexandria database, functional GGA-PBE.

a b c (Å): 3.0879 3.0879 28.9430
angles (deg): 90.00 90.00 90.00
Closest atoms and distances in Å follow each position.
Space group I4/mmm (No. 139)
Inequivalent atoms, fractional coordinates:
Sc: 0.0000 0.0000 0.1578 x4  4 Os 2.90, 4 Sc 3.09
Bi: 0.0000 0.0000 0.4291 x4  4 Bi 3.09, 4 Sc 3.33
Os: 0.0000 0.0000 0.2760 x4  4 Os 2.65, 4 Sc 2.90

Properties
M_tot	0.0	Bohr magnetons per cell
energy of formation from the pure elements	-0.1663	eV/atom
uncorrected energy	-7.31	eV/atom

***

4.
A relaxed structure of Sc2BiOs2. Source: the Alexandria database, functional GGA-PBE.

a b c (Å): 7.6757 7.6757 3.3355
angles (deg): 90.00 90.00 90.00
Closest atoms and distances in Å follow each position.
Space group P4/mbm (No. 127)
Inequivalent atoms, fractional coordinates:
Sc: 0.1828 0.3172 0.0000 x4  6 Os 2.78-2.87
Bi: 0.0000 0.0000 0.5000 x2  4 Os 3.10, 8 Sc 3.27, 2 Bi 3.34
Os: 0.1128 0.6128 0.5000 x4  1 Os 2.45

Properties
M_tot	0.0	Bohr magnetons per cell
energy of formation from the pure elements	-0.0200	eV/atom
uncorrected energy	-7.82	eV/atom

***

5.
A relaxed structure of Sc4BiOs. Source: the Alexandria database, functional GGA-PBE.

a b c (Å): 15.3209 4.7046 7.9332
angles (deg): 90.00 104.05 90.00
Closest atoms and distances in Å follow each position.
Space group C2/m (No. 12)
Inequivalent atoms, fractional coordinates:
Sc: 0.0387 0.0000 0.3477 x4  3 Os 2.68-2.77, 1 Sc 2.94
Sc: 0.0598 0.5000 0.8600 x4  3 Os 2.78-2.85, 2 Sc 3.05
Sc: 0.1723 0.5000 0.4871 x4  1 Os 2.67
Sc: 0.1771 0.0000 0.1163 x4  1 Os 2.65
Bi: 0.1966 0.0000 0.7519 x4  6 Sc 2.98-3.12
Os: 0.0000 0.0000 0.0000 x2  8 Sc 2.65-2.85
Os: 0.0000 0.5000 0.5000 x2  8 Sc 2.67-2.78

Properties
M_tot	0.0	Bohr magnetons per cell
energy of formation from the pure elements	-0.3262	eV/atom
uncorrected energy	-7.07	eV/atom
distance to the lowest polymorph of the same formula	12.72	kJ/mol of atoms

***

6.
A relaxed structure of ScBi2Os. Source: the Alexandria database, functional GGA-PBE.

a b c (Å): 7.0493 7.0493 7.0493
angles (deg): 90.00 90.00 90.00
Closest atoms and distances in Å follow each position.
Space group Fm-3m (No. 225)
Inequivalent atoms, fractional coordinates:
Sc: 0.0000 0.0000 0.0000 x4  8 Bi 3.05
Bi: 0.2500 0.2500 0.2500 x8  4 Os 3.05, 4 Sc 3.05
Os: 0.0000 0.0000 0.5000 x4  8 Bi 3.05

Properties
M_tot	0.0	Bohr magnetons per cell
energy of formation from the pure elements	0.2850	eV/atom
uncorrected energy	-6.05	eV/atom
distance to the lowest polymorph of the same formula	0.00	kJ/mol of atoms

***

7.
A relaxed structure of Sc8Bi2Os. Source: the Alexandria database, functional GGA-PBE.

a b c (Å): 5.0620 6.7575 14.8199
angles (deg): 90.00 90.00 90.00
Closest atoms and distances in Å follow each position.
Space group Immm (No. 71)
Inequivalent atoms, fractional coordinates:
Sc: 0.0000 0.0000 0.1790 x4  8 Sc 3.11-3.32, 4 Bi 3.21-3.38
Sc: 0.0000 0.2351 0.3758 x8  1 Os 2.57
Sc: 0.0000 0.2398 0.0000 x4  2 Os 3.01, 7 Sc 3.11-3.24, 2 Bi 3.28
Bi: 0.0000 0.5000 0.1872 x4  12 Sc 3.13-3.38
Os: 0.0000 0.5000 0.5000 x2  4 Sc 2.57

Properties
M_tot	0.0	Bohr magnetons per cell
energy of formation from the pure elements	-0.3365	eV/atom
uncorrected energy	-6.67	eV/atom

***

8.
A relaxed structure of ScBi2Os. Source: the Alexandria database, functional GGA-PBE.

a b c (Å): 4.4450 4.4450 19.8463
angles (deg): 90.00 90.00 90.00
Closest atoms and distances in Å follow each position.
Space group I-42d (No. 122)
Inequivalent atoms, fractional coordinates:
Sc: 0.0000 0.0000 0.0000 x4  4 Bi 2.96, 4 Os 3.14
Bi: 0.2367 0.2500 0.6250 x8  2 Os 2.91, 2 Sc 2.96, 4 Bi 3.06-3.23
Os: 0.0000 0.0000 0.5000 x4  4 Bi 2.91, 4 Sc 3.14

Properties
M_tot	0.0	Bohr magnetons per cell
energy of formation from the pure elements	0.4968	eV/atom
uncorrected energy	-5.83	eV/atom
distance to the lowest polymorph of the same formula	20.43	kJ/mol of atoms